# PBEsol Y2CrIn, relaxed
# energy	-0.495	Ry per atom
# total moment	3.82	μB per cell
data_Y2CrIn
_symmetry_space_group_name_H-M 'P 4/m m m'
_symmetry_Int_Tables_number 123
_symmetry_space_group_name_Hall '-P 4 2'
_cell_length_a 5.0267
_cell_length_b 5.0267
_cell_length_c 3.8060
_cell_angle_alpha 90.00
_cell_angle_beta 90.00
_cell_angle_gamma 90.00
loop_
_atom_site_label
_atom_site_type_symbol
_atom_site_fract_x
_atom_site_fract_y
_atom_site_fract_z
Y1 Y 0.0000 0.5000 0.0000
Cr1 Cr 0.0000 0.0000 0.5000
In1 In 0.5000 0.5000 0.5000